This record from Alexandria describes crystalline UPd3Au3 at its relaxed geometry. The functional is GGA-PBE.

The value obtained for the total energy is -5.424 eV per atom. The calculation puts the density of states at the Fermi level at 9.5 states/eV/f.u.

The space group is Cmmm (No. 65) and the conventional cell measures 8.8648, 9.1229 and 6.6204 Å, with angles of 90.00, 90.00 and 90.00 degrees. The asymmetric unit holds U at (0.2413, 0.0000, 0.0000), Pd at (0.0000, 0.5000, 0.2656), Pd at (0.2500, 0.2500, 0.2539), Au at (0.0000, 0.2372, 0.5000), Au at (0.0000, 0.2488, 0.0000) and Au at (0.2115, 0.0000, 0.5000).

This record from Alexandria describes crystalline Pm2Pr3Ho6 at its relaxed geometry. The functional is GGA-PBE.

The value obtained for the total energy is -4.408 eV per atom. The calculation puts the density of states at the Fermi level at 15.8 states/eV/f.u.

The space group is I4/mmm (No. 139) and the conventional cell measures 4.7915, 4.7915 and 33.2179 Å, with angles of 90.00, 90.00 and 90.00 degrees. The asymmetric unit holds Pm at (0.0000, 0.0000, 0.0462), Pr at (0.0000, 0.0000, 0.2952), Pr at (0.0000, 0.0000, 0.5000), Ho at (0.0000, 0.0000, 0.1912) and Ho at (0.0000, 0.5000, 0.1202).

This record from Alexandria describes crystalline Sn2BrF at its relaxed geometry. The functional is GGA-PBE.

The value obtained for the total energy is -3.663 eV per atom. The calculation puts the uncorrected formation energy at -775 meV/atom. The calculation puts the density of states at the Fermi level at 1.0 states/eV/f.u.

The space group is I-42d (No. 122) and the conventional cell measures 5.2483, 5.2483 and 16.9519 Å, with angles of 90.00, 90.00 and 90.00 degrees. The asymmetric unit holds Sn at (0.1321, 0.2500, 0.1250), Br at (0.0000, 0.0000, 0.5000) and F at (0.0000, 0.0000, 0.0000).

no.,E above lowest polymorph (meV per atom)
1,19
2,65
3,0